TaZn3Ga, optimized geometry, DFT PBE; D(E_F) = 1.286 states/eV per atom; ΔE to the lowest computed polymorph = 101 meV/atom; energy = -2.65 eV per atom
1.0
5.105 0.000 0.000
0.000 5.105 0.000
0.000 0.000 5.105
Ta Zn Ga
1 3 1
Direct
0.000 0.000 0.000 Ta
0.000 0.000 0.500 Zn
0.000 0.500 0.000 Zn
0.500 0.000 0.000 Zn
0.500 0.500 0.500 Ga

CrGeIr3, optimized geometry, DFT PBE; D(E_F) = 0.886 states/eV per atom; ΔE to the lowest computed polymorph = 107 meV/atom; energy = -6.92 eV per atom
1.0
4.517 0.000 0.000
0.000 4.517 0.000
0.000 0.000 4.517
Cr Ge Ir
1 1 3
Direct
0.000 0.000 0.000 Cr
0.500 0.500 0.500 Ge
0.000 0.000 0.500 Ir
0.000 0.500 0.000 Ir
0.500 0.000 0.000 Ir

Ca2Nd2Hg3, optimized geometry, DFT PBE; D(E_F) = 0.831 states/eV per atom; energy = -2.44 eV per atom
1.0
2.672 1.543 8.695
-2.672 1.543 8.695
0.000 -3.085 8.695
Ca Nd Hg
2 2 3
Direct
0.126 0.126 0.126 Ca
0.874 0.874 0.874 Ca
0.376 0.376 0.376 Nd
0.624 0.624 0.624 Nd
0.254 0.254 0.254 Hg
0.500 0.500 0.500 Hg
0.746 0.746 0.746 Hg

ScAlP, optimized geometry, DFT PBE; D(E_F) = 0.570 states/eV per atom; energy = -5.90 eV per atom
1.0
1.818 1.049 4.932
-1.818 1.049 4.932
0.000 -2.099 4.932
Sc Al P
1 1 1
Direct
0.000 0.000 0.000 Sc
0.802 0.802 0.802 Al
0.217 0.217 0.217 P

BaAg6Hg12, optimized geometry, DFT PBE; D(E_F) = 0.400 states/eV per atom; energy = -1.21 eV per atom
1.0
6.430 3.712 3.292
-6.430 3.712 3.292
0.000 -7.425 3.292
Ba Ag Hg
1 6 12
Direct
0.000 0.000 0.000 Ba
0.292 0.292 0.702 Ag
0.292 0.702 0.292 Ag
0.298 0.708 0.708 Ag
0.702 0.292 0.292 Ag
0.708 0.298 0.708 Ag
0.708 0.708 0.298 Ag
0.113 0.500 0.887 Hg
0.113 0.887 0.500 Hg
0.131 0.386 0.386 Hg
0.386 0.131 0.386 Hg
0.386 0.386 0.131 Hg
0.500 0.113 0.887 Hg
0.500 0.887 0.113 Hg
0.614 0.614 0.869 Hg
0.614 0.869 0.614 Hg
0.869 0.614 0.614 Hg
0.887 0.113 0.500 Hg
0.887 0.500 0.113 Hg

Rb2NiBr4, optimized geometry, DFT PBE; D(E_F) = 0.118 states/eV per atom; formation energy without anion corrections = -1.12 eV/atom; energy = -3.18 eV per atom
1.0
7.264 0.000 0.000
0.000 7.573 0.000
-3.480 0.000 9.432
Rb Ni Br
4 2 8
Direct
0.203 0.250 0.045 Rb
0.280 0.250 0.573 Rb
0.720 0.750 0.427 Rb
0.797 0.750 0.955 Rb
0.228 0.750 0.798 Ni
0.772 0.250 0.202 Ni
0.006 0.505 0.735 Br
0.006 0.995 0.735 Br
0.351 0.750 0.052 Br
0.396 0.750 0.631 Br
0.604 0.250 0.369 Br
0.649 0.250 0.948 Br
0.994 0.005 0.265 Br
0.994 0.495 0.265 Br

Pr3TmSi4, optimized geometry, DFT PBE; D(E_F) = 0.892 states/eV per atom; formation energy without anion corrections = -0.55 eV/atom; energy = -5.62 eV per atom
1.0
-2.134 3.127 8.031
2.134 -3.127 8.031
2.134 3.127 -8.031
Pr Tm Si
3 1 4
Direct
0.000 0.000 0.000 Pr
0.307 0.807 0.500 Pr
0.693 0.193 0.500 Pr
0.500 0.500 0.000 Tm
0.057 0.371 0.686 Si
0.315 0.629 0.686 Si
0.685 0.371 0.314 Si
0.943 0.629 0.314 Si

TaNbZnAu, optimized geometry, DFT PBE; D(E_F) = 0.413 states/eV per atom; energy = -6.71 eV per atom
1.0
1.796 -2.182 0.000
1.796 2.182 0.000
0.000 0.000 8.808
Ta Nb Zn Au
1 1 1 1
Direct
0.000 0.000 0.000 Ta
0.500 0.500 0.741 Nb
0.500 0.500 0.243 Zn
0.000 0.000 0.482 Au

FeSbSeI2, optimized geometry, DFT PBE; D(E_F) = 1.481 states/eV per atom; ΔE to the lowest computed polymorph = 457 meV/atom; formation energy without anion corrections = 1.02 eV/atom; energy = -2.81 eV per atom
1.0
5.793 0.000 0.000
0.000 5.793 0.000
0.000 0.000 5.466
Fe Sb Se I
1 1 1 2
Direct
0.000 0.000 0.000 Fe
0.500 0.500 0.000 Sb
0.500 0.500 0.500 Se
0.000 0.500 0.500 I
0.500 0.000 0.500 I

Cd2SnPd2, optimized geometry, DFT PBE; D(E_F) = 0.403 states/eV per atom; ΔE to the lowest computed polymorph = 225 meV/atom; energy = -3.40 eV per atom
1.0
-1.931 1.931 6.876
1.931 -1.931 6.876
1.931 1.931 -6.876
Cd Sn Pd
2 1 2
Direct
0.250 0.750 0.500 Cd
0.750 0.250 0.500 Cd
0.000 0.000 0.000 Sn
0.403 0.403 0.000 Pd
0.597 0.597 0.000 Pd

ZnRh2Br, optimized geometry, DFT PBE; D(E_F) = 0.501 states/eV per atom; ΔE to the lowest computed polymorph = 93 meV/atom; formation energy without anion corrections = 0.20 eV/atom; energy = -4.21 eV per atom
1.0
1.502 0.867 8.104
-1.502 0.867 8.104
0.000 -1.734 8.104
Zn Rh Br
1 2 1
Direct
0.000 0.000 0.000 Zn
0.252 0.252 0.252 Rh
0.748 0.748 0.748 Rh
0.500 0.500 0.500 Br

Ni3Sb, optimized geometry, DFT PBE; D(E_F) = 0.982 states/eV per atom; ΔE to the lowest computed polymorph = 258 meV/atom; formation energy without anion corrections = 0.11 eV/atom; energy = -5.26 eV per atom
1.0
3.760 0.000 0.000
-1.880 3.256 0.000
0.000 0.000 5.098
Ni Sb
3 1
Direct
0.000 0.000 0.000 Ni
0.333 0.667 0.238 Ni
0.333 0.667 0.762 Ni
0.000 0.000 0.500 Sb

ZnHg2F4, optimized geometry, DFT PBE; D(E_F) = 0.223 states/eV per atom; ΔE to the lowest computed polymorph = 0 meV/atom; formation energy without anion corrections = -1.43 eV/atom; energy = -2.77 eV per atom
1.0
-2.237 2.237 6.444
2.237 -2.237 6.444
2.237 2.237 -6.444
Zn Hg F
1 2 4
Direct
0.000 0.000 0.000 Zn
0.250 0.750 0.500 Hg
0.750 0.250 0.500 Hg
0.127 0.671 0.000 F
0.329 0.329 0.456 F
0.671 0.127 0.000 F
0.873 0.873 0.544 F

Tl2BrN, optimized geometry, DFT PBE; D(E_F) = 0.181 states/eV per atom; ΔE to the lowest computed polymorph = 0 meV/atom; formation energy without anion corrections = 0.33 eV/atom; energy = -3.36 eV per atom
1.0
-3.480 3.480 4.757
3.480 -3.480 4.757
3.480 3.480 -4.757
Tl Br N
4 2 2
Direct
0.022 0.625 0.897 Tl
0.375 0.272 0.397 Tl
0.728 0.125 0.103 Tl
0.875 0.978 0.603 Tl
0.250 0.750 0.500 Br
0.500 0.500 0.000 Br
0.000 0.000 0.000 N
0.750 0.250 0.500 N

PuPt3, optimized geometry, DFT PBE; D(E_F) = 2.922 states/eV per atom; energy = -8.68 eV per atom
1.0
-5.231 5.231 2.763
5.231 -5.231 2.763
5.231 5.231 -2.763
Pu Pt
4 12
Direct
0.375 0.129 0.254 Pu
0.871 0.125 0.246 Pu
0.875 0.121 0.746 Pu
0.879 0.625 0.754 Pu
0.155 0.125 0.530 Pt
0.197 0.535 0.590 Pt
0.285 0.447 0.090 Pt
0.357 0.195 0.910 Pt
0.375 0.845 0.970 Pt
0.393 0.803 0.338 Pt
0.465 0.055 0.662 Pt
0.553 0.643 0.838 Pt
0.595 0.625 0.470 Pt
0.805 0.715 0.162 Pt
0.875 0.405 0.030 Pt
0.945 0.607 0.410 Pt

HoNi2Sn, optimized geometry, DFT PBE; D(E_F) = 0.912 states/eV per atom; energy = -5.38 eV per atom
1.0
4.450 0.000 0.000
0.000 4.450 0.000
0.000 0.000 3.513
Ho Ni Sn
1 2 1
Direct
0.000 0.000 0.000 Ho
0.000 0.500 0.500 Ni
0.500 0.000 0.500 Ni
0.500 0.500 0.000 Sn

La8Os3Cl4, optimized geometry, DFT PBE; D(E_F) = 0.746 states/eV per atom; formation energy without anion corrections = -0.93 eV/atom; energy = -6.30 eV per atom
1.0
4.272 2.467 7.810
-4.272 2.467 7.810
0.000 -4.933 7.810
La Os Cl
8 3 4
Direct
0.210 0.744 0.744 La
0.231 0.231 0.231 La
0.256 0.256 0.790 La
0.256 0.790 0.256 La
0.744 0.210 0.744 La
0.744 0.744 0.210 La
0.769 0.769 0.769 La
0.790 0.256 0.256 La
0.000 0.000 0.500 Os
0.000 0.500 0.000 Os
0.500 0.000 0.000 Os
0.000 0.000 0.000 Cl
0.360 0.360 0.360 Cl
0.500 0.500 0.500 Cl
0.640 0.640 0.640 Cl

Tb2CePr6Sm, optimized geometry, DFT PBE; D(E_F) = 2.230 states/eV per atom; energy = -4.63 eV per atom
1.0
5.677 -3.551 0.000
5.677 3.551 0.000
-1.983 0.000 8.750
Tb Ce Pr Sm
2 1 6 1
Direct
0.093 0.093 0.158 Tb
0.907 0.907 0.842 Tb
0.500 0.500 0.000 Ce
0.065 0.594 0.203 Pr
0.372 0.372 0.583 Pr
0.406 0.935 0.797 Pr
0.594 0.065 0.203 Pr
0.628 0.628 0.417 Pr
0.935 0.406 0.797 Pr
0.000 0.000 0.500 Sm

Sm2TlPd3, optimized geometry, DFT PBE; D(E_F) = 0.615 states/eV per atom; energy = -5.16 eV per atom
1.0
0.000 4.811 7.914
3.555 0.000 7.914
3.555 4.811 0.000
Sm Tl Pd
4 2 6
Direct
0.243 0.757 0.757 Sm
0.250 0.250 0.250 Sm
0.750 0.750 0.750 Sm
0.757 0.243 0.243 Sm
0.332 0.332 0.668 Tl
0.668 0.668 0.332 Tl
0.160 0.160 0.840 Pd
0.168 0.662 0.338 Pd
0.338 0.832 0.168 Pd
0.662 0.168 0.832 Pd
0.832 0.338 0.662 Pd
0.840 0.840 0.160 Pd

Sr2TlBr2, optimized geometry, DFT PBE; D(E_F) = 0.582 states/eV per atom; ΔE to the lowest computed polymorph = 0 meV/atom; formation energy without anion corrections = -1.17 eV/atom; energy = -2.99 eV per atom
1.0
-2.502 2.502 7.667
2.502 -2.502 7.667
2.502 2.502 -7.667
Sr Tl Br
2 1 2
Direct
0.128 0.128 0.000 Sr
0.872 0.872 0.000 Sr
0.500 0.500 0.000 Tl
0.250 0.750 0.500 Br
0.750 0.250 0.500 Br

Sm6Te3Rh2Au, optimized geometry, DFT PBE; D(E_F) = 0.579 states/eV per atom; formation energy without anion corrections = -1.05 eV/atom; energy = -5.69 eV per atom
1.0
3.655 -6.324 0.000
3.655 6.324 0.000
-2.429 0.000 7.468
Sm Te Rh Au
6 3 2 1
Direct
0.075 0.428 0.784 Sm
0.217 0.217 0.211 Sm
0.428 0.075 0.784 Sm
0.572 0.925 0.216 Sm
0.783 0.783 0.789 Sm
0.925 0.572 0.216 Sm
0.000 0.000 0.500 Te
0.339 0.661 0.500 Te
0.661 0.339 0.500 Te
0.168 0.832 0.000 Rh
0.832 0.168 0.000 Rh
0.500 0.500 0.000 Au